Record 1
NbNi2BF | GGA-PBEsol | relaxed

It has space group P4/mmm (No. 123), with a = 3.731 Å, b = 3.731 Å, c = 4.210 Å, α = 90.00°, β = 90.00° and γ = 90.00°. The inequivalent atoms are Nb at (0.000, 0.000, 0.000), Ni at (0.000, 0.500, 0.500), B at (0.500, 0.500, 0.000) and F at (0.000, 0.000, 0.500).

For the density of states at the Fermi level, the calculation gives 3.14 states/eV/f.u. The calculation puts the raw formation energy at 0.61 eV per atom.


Record 2
Al2CdFe | GGA-PBEsol | relaxed

It has space group C2/m (No. 12), with a = 8.783 Å, b = 2.864 Å, c = 4.911 Å, α = 90.00°, β = 102.55° and γ = 90.00°. The inequivalent atoms are Al at (0.230, 0.000, 0.212), Cd at (0.000, 0.000, 0.500) and Fe at (0.000, 0.500, 0.000).

As for the formation energy: 0.07 eV per atom. For the density of states at the Fermi level, the calculation gives 3.35 states/eV/f.u.


Record 3
KZrH3 | GGA-PBEsol | relaxed

It has space group Pm-3m (No. 221), with a = 4.069 Å, b = 4.069 Å, c = 4.069 Å, α = 90.00°, β = 90.00° and γ = 90.00°. The inequivalent atoms are K at (0.000, 0.000, 0.000), Zr at (0.500, 0.500, 0.500) and H at (0.000, 0.000, 0.500).

For the density of states at the Fermi level, the calculation gives 2.57 states/eV/f.u. For the energy above the lowest structure with this stoichiometry, the calculation gives 497 kJ/mol of formula units.


Record 4
Zr3ZnO | GGA-PBEsol | relaxed

It has space group Pm-3m (No. 221), with a = 4.378 Å, b = 4.378 Å, c = 4.378 Å, α = 90.00°, β = 90.00° and γ = 90.00°. The inequivalent atoms are Zr at (0.000, 0.000, 0.500), Zn at (0.500, 0.500, 0.500) and O at (0.000, 0.000, 0.000).

For the density of states at the Fermi level, the calculation gives 4.28 states/eV/f.u. The calculation puts the raw formation energy at -1.16 eV per atom.


It is found that the calculated density values, taken in the order of the records, are 6.8, 6.1, 3.3, 7.0 g cm⁻³.
It is found that the total energy values, taken in the order of the records, are -5.804, -4.515, -3.046, -7.985 eV per atom.